Record 1
Er4SiAs3 | PBE | relaxed

As for the uncorrected formation energy: -1.24 eV per atom. The density of states at the Fermi level is 4.245 states/eV per cell.

The structure belongs to space group Pm-3m (No. 221); the cell edges are 5.771, 5.771 and 5.771 Å and the angles 90.00°, 90.00° and 90.00°. The distinct sites, in fractional coordinates, are Er at (0.000, 0.000, 0.000), Er at (0.000, 0.500, 0.500), Si at (0.500, 0.500, 0.500) and As at (0.000, 0.000, 0.500).



Record 2
Er4SiTe2As | PBE | relaxed

As for the uncorrected formation energy: -1.29 eV per atom. The density of states at the Fermi level is 1.706 states/eV per cell.

The structure belongs to space group P2/m (No. 10); the cell edges are 7.244, 4.178 and 7.400 Å and the angles 90.00°, 108.97° and 90.00°. The distinct sites, in fractional coordinates, are Er at (0.235, 0.000, 0.218), Er at (0.256, 0.500, 0.782), Si at (0.000, 0.500, 0.000), Te at (0.000, 0.000, 0.500), Te at (0.500, 0.500, 0.500) and As at (0.500, 0.000, 0.000).



Record 3
Sm3ErAs4 | PBE | relaxed

As for the formation energy: -1.520 eV per atom. The density of states at the Fermi level is 0.703 states/eV per cell.

The structure belongs to space group Pm-3m (No. 221); the cell edges are 5.913, 5.913 and 5.913 Å and the angles 90.00°, 90.00° and 90.00°. The distinct sites, in fractional coordinates, are Sm at (0.000, 0.000, 0.500), Er at (0.500, 0.500, 0.500), As at (0.000, 0.000, 0.000) and As at (0.000, 0.500, 0.500).



Record 4
SmEr5As6 | PBE | relaxed

As for the formation energy: -1.517 eV per atom. The density of states at the Fermi level is 3.829 states/eV per cell.

The structure belongs to space group C2/m (No. 12); the cell edges are 7.110, 12.314 and 7.108 Å and the angles 90.00°, 109.45° and 90.00°. The distinct sites, in fractional coordinates, are Sm at (0.000, 0.000, 0.000), Er at (0.000, 0.166, 0.500), Er at (0.000, 0.333, 0.000), Er at (0.000, 0.500, 0.500), As at (0.246, 0.500, 0.252) and As at (0.247, 0.331, 0.747).